First-principles (PBE) data for OsPdPb2Br after structural relaxation, as listed in Alexandria via LeMat-Bulk.

Unit cell a=5.434 b=5.434 c=5.017 alpha=90.00 beta=90.00 gamma=90.00
Space group P4/mmm (No. 123)
Symmetry-distinct sites (fractional):
Os  0.000  0.000  0.000 (multiplicity 1)
Pd  0.000  0.000  0.500 (multiplicity 1)
Pb  0.000  0.500  0.500 (multiplicity 2)
Br  0.500  0.500  0.000 (multiplicity 1)

Values from the calculation:
crystal system = tetragonal
total moment = 3.05 μB/f.u.
raw formation energy = 0.9119 eV/atom


First-principles (PBE) data for Tb2TmHg after structural relaxation, as listed in Alexandria via LeMat-Bulk.

Unit cell a=3.635 b=12.686 c=10.002 alpha=90.00 beta=90.00 gamma=90.00
Space group Cmcm (No. 63)
Symmetry-distinct sites (fractional):
Tb  0.000  0.129  0.043 (multiplicity 8)
Tm  0.000  0.453  0.250 (multiplicity 4)
Hg  0.000  0.251  0.750 (multiplicity 4)

Values from the calculation:
crystal system = orthorhombic
formation enthalpy at 0 K = -0.9 eV per formula unit
polymorph energy (0 for the lowest one) = 0 meV per atom
total moment = 0.00 μB/f.u.


First-principles (PBE) data for RbTl2Ag after structural relaxation, as listed in Alexandria via LeMat-Bulk.

Unit cell a=4.781 b=12.973 c=8.603 alpha=90.00 beta=90.00 gamma=90.00
Space group Cmcm (No. 63)
Symmetry-distinct sites (fractional):
Rb  0.000  0.046  0.250 (multiplicity 4)
Tl  0.000  0.339  0.057 (multiplicity 8)
Ag  0.000  0.230  0.750 (multiplicity 4)

Values from the calculation:
crystal system = orthorhombic
formation enthalpy at 0 K = -0.1 eV per formula unit
polymorph energy (0 for the lowest one) = 0 meV per atom
total moment = 0.00 μB/f.u.


First-principles (PBE) data for CsTl2Sb after structural relaxation, as listed in Alexandria via LeMat-Bulk.

Unit cell a=4.146 b=4.146 c=8.582 alpha=90.00 beta=90.00 gamma=90.00
Space group P4/mmm (No. 123)
Symmetry-distinct sites (fractional):
Cs  0.000  0.000  0.000 (multiplicity 1)
Tl  0.500  0.500  0.310 (multiplicity 2)
Sb  0.000  0.000  0.500 (multiplicity 1)

Values from the calculation:
crystal system = tetragonal
polymorph energy (0 for the lowest one) = 80 meV per atom
total moment = 0.00 μB/f.u.
raw formation energy = -0.1478 eV/atom


First-principles (PBE) data for ThBiAu after structural relaxation, as listed in Alexandria via LeMat-Bulk.

Unit cell a=3.815 b=3.815 c=11.259 alpha=90.00 beta=90.00 gamma=90.00
Space group I4mm (No. 107)
Symmetry-distinct sites (fractional):
Th  0.000  0.000  0.000 (multiplicity 2)
Bi  0.000  0.000  0.700 (multiplicity 2)
Au  0.000  0.000  0.357 (multiplicity 2)

Values from the calculation:
crystal system = tetragonal
formation enthalpy at 0 K = -1.3 eV per formula unit
total moment = 0.00 μB/f.u.


First-principles (PBE) data for CdCu2Tc after structural relaxation, as listed in Alexandria via LeMat-Bulk.

Unit cell a=6.234 b=6.234 c=6.234 alpha=90.00 beta=90.00 gamma=90.00
Space group F-43m (No. 216)
Symmetry-distinct sites (fractional):
Cd  0.000  0.000  0.000 (multiplicity 4)
Cu  0.000  0.000  0.500 (multiplicity 4)
Cu  0.250  0.250  0.750 (multiplicity 4)
Tc  0.250  0.250  0.250 (multiplicity 4)

Values from the calculation:
crystal system = cubic
formation enthalpy at 0 K = 2.0 eV per formula unit
total moment = 2.07 μB/f.u.


First-principles (PBE) data for Nd5Cd3In after structural relaxation, as listed in Alexandria via LeMat-Bulk.

Unit cell a=9.5626 b=9.5626 c=6.7931 alpha=90.00 beta=90.00 gamma=120.00
Space group P6_3/mcm (No. 193)
Symmetry-distinct sites (fractional):
Nd  0.0000  0.2975  0.2500 (multiplicity 6)
Nd  0.3333  0.6667  0.0000 (multiplicity 4)
Cd  0.0000  0.3642  0.7500 (multiplicity 6)
In  0.0000  0.0000  0.0000 (multiplicity 2)

Values from the calculation:
crystal system = hexagonal
formation enthalpy at 0 K = -2.4 eV per formula unit
total moment = 0.00 μB/f.u.


First-principles (PBE) data for Dy2ZrSb3 after structural relaxation, as listed in Alexandria via LeMat-Bulk.

Unit cell a=4.299 b=4.299 c=18.178 alpha=90.00 beta=90.00 gamma=90.00
Space group I4/mmm (No. 139)
Symmetry-distinct sites (fractional):
Dy  0.000  0.000  0.168 (multiplicity 4)
Zr  0.000  0.000  0.500 (multiplicity 2)
Sb  0.000  0.000  0.000 (multiplicity 2)
Sb  0.000  0.000  0.338 (multiplicity 4)

Values from the calculation:
crystal system = tetragonal
total moment = 0.00 μB/f.u.
raw formation energy = -0.9227 eV/atom


> Which value of total moment does entry 6 give?

2.07 μB/f.u.


> The highest total moment belongs to which entry?

OsPdPb2Br


What did the sixth record say?
First-principles (PBE) data for CdCu2Tc after structural relaxation, as listed in Alexandria via LeMat-Bulk.

Unit cell a=6.234 b=6.234 c=6.234 alpha=90.00 beta=90.00 gamma=90.00
Space group F-43m (No. 216)
Symmetry-distinct sites (fractional):
Cd  0.000  0.000  0.000 (multiplicity 4)
Cu  0.000  0.000  0.500 (multiplicity 4)
Cu  0.250  0.250  0.750 (multiplicity 4)
Tc  0.250  0.250  0.250 (multiplicity 4)

Values from the calculation:
crystal system = cubic
formation enthalpy at 0 K = 2.0 eV per formula unit
total moment = 2.07 μB/f.u.